{"formula": "Tl2HgAs", "functional": "PBE-GGA", "state": "optimized geometry", "de_polymorph_mev_per_atom": 13, "magmom_total_mub_per_fu": 0.0, "vol_a3_per_cell": 115.97, "lattice_angstrom": [[-1.624, -2.884, 0.310], [1.397, -0.468, 2.980], [-8.024, 5.008, 4.549]], "species": ["Hg", "Tl", "Tl", "As"], "frac_coords": [[0.500, 0.500, 0.750], [0.000, 0.000, 0.466], [0.000, 0.000, 0.034], [0.500, 0.500, 0.250]]}

{"formula": "CoCu2Ni4", "functional": "PBE-GGA", "state": "optimized geometry", "de_polymorph_mev_per_atom": 338, "magmom_total_mub_per_fu": 4.2, "vol_a3_per_cell": 86.37, "lattice_angstrom": [[-2.643, -0.219, 3.165], [-1.352, -1.588, -1.239], [5.236, -5.707, 3.978]], "species": ["Ni", "Ni", "Ni", "Ni", "Cu", "Cu", "Co"], "frac_coords": [[0.500, 0.808, 0.616], [0.000, 0.651, 0.302], [0.500, 0.192, 0.384], [0.000, 0.349, 0.698], [0.500, 0.570, 0.140], [0.500, 0.430, 0.860], [0.000, 0.500, 0.000]]}